1.
FeCo7, optimized geometry, DFT GGA-PBEsol; symmetry = Immm
1.0
-1.3322 1.9796 8.0255
1.3322 -1.9796 8.0255
1.3322 1.9796 -8.0255
Fe Co
1 7
Cartesian
0.0000 0.0000 0.0000
1.3322 0.0000 1.9046
0.0000 0.0000 3.8827
1.3322 0.0000 5.9072
0.0000 0.0000 8.0255
0.0000 1.9796 2.1182
0.0000 0.0000 12.1682
0.0000 1.9796 6.1209

=====

2.
FeCo7, optimized geometry, DFT GGA-PBEsol; symmetry = Fmmm
1.0
0.0000 3.4746 4.9104
2.4502 0.0000 4.9104
2.4502 3.4746 0.0000
Fe Co
1 7
Cartesian
0.0000 0.0000 0.0000
1.2251 1.7373 1.2417
2.4502 3.4746 2.4777
1.2251 1.7373 3.6687
2.4502 3.4746 4.9104
3.6754 5.2118 6.1522
2.4502 3.4746 7.3431
3.6754 5.2118 8.5791

=====

3.
FeCo7, optimized geometry, DFT GGA-PBEsol; symmetry = I4/mmm
1.0
-1.9813 1.9813 5.3966
1.9813 -1.9813 5.3966
1.9813 1.9813 -5.3966
Fe Co
1 7
Cartesian
0.0000 0.0000 0.0000
1.9813 0.0000 1.3456
0.0000 0.0000 2.7240
1.9813 0.0000 4.0511
0.0000 0.0000 5.3966
0.0000 1.9813 1.3456
0.0000 0.0000 8.0693
0.0000 1.9813 4.0511

=====

Of them, the most stable is 2 and the least stable is 3.

=====

1.
FeCo7, optimized geometry, DFT GGA-PBEsol; symmetry = Im-3m
1.0
-2.7712 2.7712 2.7712
2.7712 -2.7712 2.7712
2.7712 2.7712 -2.7712
Fe Co
1 7
Cartesian
0.0000 0.0000 0.0000
1.3856 1.3856 -1.3856
1.3856 -1.3856 1.3856
2.7712 0.0000 0.0000
-1.3856 1.3856 1.3856
0.0000 2.7712 0.0000
0.0000 0.0000 2.7712
1.3856 1.3856 1.3856

=====

2.
FeCo7, optimized geometry, DFT GGA-PBEsol; symmetry = P2/m
1.0
2.4584 0.0000 0.0000
0.0000 3.4595 0.0000
-0.0232 0.0000 9.8423
Fe Co
1 7
Cartesian
0.0000 0.0000 0.0000
2.4524 0.0000 2.4778
-0.0116 0.0000 4.9212
-0.0171 0.0000 7.3645
1.2251 1.7297 1.2648
1.2206 1.7297 3.6969
1.2146 1.7297 6.1454
1.2101 1.7297 8.5775

=====

Of them, the most stable is 2 and the least stable is 1.

=====

1.
FeCo7, optimized geometry, DFT GGA-PBEsol; symmetry = R-3m
1.0
1.9579 1.1304 6.3976
-1.9579 1.1304 6.3976
0.0000 -2.2608 6.3976
Fe Co
1 7
Cartesian
0.0000 0.0000 0.0000
0.0000 0.0000 2.3284
0.0000 0.0000 4.7103
0.0000 0.0000 7.1650
0.0000 0.0000 9.5964
0.0000 0.0000 12.0279
0.0000 0.0000 14.4826
0.0000 0.0000 16.8644

=====

2.
FeCo7, optimized geometry, DFT GGA-PBEsol; symmetry = Fm-3m
1.0
0.0000 3.4667 3.4667
3.4667 0.0000 3.4667
3.4667 3.4667 0.0000
Fe Co
1 7
Cartesian
0.0000 0.0000 0.0000
1.7334 1.7334 0.0000
1.7334 0.0000 1.7334
3.4667 1.7334 1.7334
0.0000 1.7334 1.7334
1.7334 3.4667 1.7334
1.7334 1.7334 3.4667
3.4667 3.4667 3.4667

=====

Of them, the most stable is 2 and the least stable is 1.

=====

1.
FeCo7, optimized geometry, DFT GGA-PBEsol; symmetry = P4/mmm
1.0
3.4659 0.0000 0.0000
0.0000 3.4659 0.0000
0.0000 0.0000 6.9682
Fe Co
1 7
Cartesian
0.0000 0.0000 0.0000
0.0000 0.0000 3.4841
0.0000 1.7329 1.7667
0.0000 1.7329 5.2015
1.7329 0.0000 1.7667
1.7329 0.0000 5.2015
1.7329 1.7329 0.0000
1.7329 1.7329 3.4841

=====

2.
FeCo7, optimized geometry, DFT GGA-PBEsol; symmetry = P4/mmm
1.0
2.4493 0.0000 0.0000
0.0000 2.4493 0.0000
0.0000 0.0000 13.9546
Fe Co
1 7
Cartesian
0.0000 0.0000 0.0000
0.0000 0.0000 3.5094
0.0000 0.0000 6.9773
0.0000 0.0000 10.4452
1.2246 1.2246 1.8146
1.2246 1.2246 5.2536
1.2246 1.2246 8.7010
1.2246 1.2246 12.1400

=====

Of them, the most stable is 1 and the least stable is 2.

=====

1.
Fe7Co, optimized geometry, DFT GGA-PBEsol; symmetry = C2/m
1.0
4.1971 -1.9752 0.0000
4.1971 1.9752 0.0000
-1.8474 0.0000 5.2541
Fe Co
7 1
Cartesian
0.0000 0.0000 0.0000
1.4012 0.0000 1.9707
0.4767 0.0000 4.5943
2.8062 0.0000 3.9385
3.7405 0.0000 1.3156
6.0700 0.0000 0.6598
5.1456 0.0000 3.2834
-0.9237 0.0000 2.6270

=====

2.
Fe7Co, optimized geometry, DFT GGA-PBEsol; symmetry = P2/m
1.0
2.4181 0.0000 0.0000
0.0000 7.8998 0.0000
-0.8056 0.0000 4.5504
Fe Co
7 1
Cartesian
0.0000 0.0000 0.0000
0.0000 3.9499 0.0000
0.0029 1.9690 3.4141
0.0029 5.9308 3.4141
0.8063 3.9499 2.2752
1.6096 1.9690 1.1363
1.6096 5.9308 1.1363
0.8063 0.0000 2.2752

=====

Of them, the most stable is 1 and the least stable is 2.

=====

1.
Fe5Co2, optimized geometry, DFT GGA-PBEsol; symmetry = R-3m
1.0
1.9813 1.1439 5.6545
-1.9813 1.1439 5.6545
0.0000 -2.2878 5.6545
Fe Co
5 2
Cartesian
0.0000 0.0000 0.0000
0.0000 0.0000 2.4326
0.0000 0.0000 7.2645
0.0000 0.0000 9.6988
0.0000 0.0000 14.5308
0.0000 0.0000 4.8510
0.0000 0.0000 12.1124

=====

2.
Fe5Co2, optimized geometry, DFT GGA-PBEsol; symmetry = P-1
1.0
2.4305 0.0000 0.0000
-0.8028 6.0288 0.0000
-0.8074 -3.0043 5.2298
Fe Co
5 2
Cartesian
0.0000 0.0000 0.0000
-0.7996 0.8699 4.4845
0.0074 2.5977 2.9882
0.8130 0.4267 2.2416
1.6199 2.1546 0.7453
0.0094 -1.2837 3.7390
0.8110 4.3082 1.4908

=====

3.
Fe5Co2, optimized geometry, DFT GGA-PBEsol; symmetry = I4/mmm
1.0
-1.3920 1.3920 9.8214
1.3920 -1.3920 9.8214
1.3920 1.3920 -9.8214
Fe Co
5 2
Cartesian
0.0000 0.0000 0.0000
0.0000 0.0000 2.8234
0.0000 0.0000 8.4248
0.0000 0.0000 11.2181
0.0000 0.0000 16.8195
0.0000 0.0000 5.6295
0.0000 0.0000 14.0133

=====

Of them, the most stable is 1 and the least stable is 3.

=====

1.
Fe2Co3, optimized geometry, DFT GGA-PBEsol; symmetry = I4/mmm
1.0
-1.3774 1.3774 7.1035
1.3774 -1.3774 7.1035
1.3774 1.3774 -7.1035
Fe Co
2 3
Cartesian
0.0000 0.0000 2.8256
0.0000 0.0000 11.3814
0.0000 0.0000 0.0000
0.0000 0.0000 5.6740
0.0000 0.0000 8.5331

=====

2.
Fe2Co3, optimized geometry, DFT GGA-PBEsol; symmetry = C2/m
1.0
5.7437 -1.9573 0.0000
5.7437 1.9573 0.0000
-0.3499 0.0000 2.3951
Fe Co
2 3
Cartesian
1.0181 0.0000 0.9528
10.1195 0.0000 1.4424
3.3664 0.0000 0.5494
5.7437 0.0000 0.0000
7.7712 0.0000 1.8457

=====

3.
Fe2Co3, optimized geometry, DFT GGA-PBEsol; symmetry = R-3m
1.0
1.9680 1.1362 4.0290
-1.9680 1.1362 4.0290
0.0000 -2.2724 4.0290
Fe Co
2 3
Cartesian
0.0000 0.0000 1.1945
0.0000 0.0000 10.8924
0.0000 0.0000 3.5825
0.0000 0.0000 6.0435
0.0000 0.0000 8.5044

=====

Of them, the most stable is 3 and the least stable is 1.

=====

1.
Fe2Co5, optimized geometry, DFT GGA-PBEsol; symmetry = Fmmm
1.0
0.0000 1.9717 13.6998
1.3872 0.0000 13.6998
1.3872 1.9717 0.0000
Fe Co
2 5
Cartesian
1.3872 1.9717 1.9702
1.3872 1.9717 25.4294
1.3872 1.9717 5.8829
1.3872 1.9717 9.7680
1.3872 1.9717 13.6998
1.3872 1.9717 17.6315
1.3872 1.9717 21.5167

=====

2.
Fe2Co5, optimized geometry, DFT GGA-PBEsol; symmetry = P-1
1.0
2.4175 0.0000 0.0000
0.9768 5.7960 0.0000
1.1364 2.7380 5.3269
Fe Co
2 5
Cartesian
1.0102 2.4124 2.2759
3.5205 6.1216 3.0510
0.4884 2.8980 0.0000
2.6749 7.7772 4.5648
1.8119 4.4811 1.5252
2.7187 4.0529 3.8016
1.8557 0.7568 0.7621

=====

3.
Fe2Co5, optimized geometry, DFT GGA-PBEsol; symmetry = R-3m
1.0
1.9628 1.1332 5.6248
-1.9628 1.1332 5.6248
0.0000 -2.2664 5.6248
Fe Co
2 5
Cartesian
0.0000 0.0000 1.2110
0.0000 0.0000 15.6633
0.0000 0.0000 3.6222
0.0000 0.0000 6.0562
0.0000 0.0000 8.4372
0.0000 0.0000 10.8181
0.0000 0.0000 13.2521

=====

4.
Fe2Co5, optimized geometry, DFT GGA-PBEsol; symmetry = C2/m
1.0
4.3984 -1.3903 0.0000
4.3984 1.3903 0.0000
-0.9191 0.0000 6.1441
Fe Co
2 5
Cartesian
0.4116 0.0000 1.3332
7.4661 0.0000 4.8109
1.3311 0.0000 3.9733
3.1014 0.0000 0.4070
3.9389 0.0000 3.0721
4.7763 0.0000 5.7371
6.5466 0.0000 2.1708

=====

Of them, the most stable is 4 and the least stable is 1.

=====

1.
FeCo6, optimized geometry, DFT GGA-PBEsol; symmetry = R-3m
1.0
1.9586 1.1308 5.5949
-1.9586 1.1308 5.5949
0.0000 -2.2616 5.5949
Fe Co
1 6
Cartesian
0.0000 0.0000 0.0000
0.0000 0.0000 2.3900
0.0000 0.0000 4.8054
0.0000 0.0000 7.2164
0.0000 0.0000 9.5684
0.0000 0.0000 11.9793
0.0000 0.0000 14.3947

=====

2.
FeCo6, optimized geometry, DFT GGA-PBEsol; symmetry = I4/mmm
1.0
-1.4116 1.4116 9.3306
1.4116 -1.4116 9.3306
1.4116 1.4116 -9.3306
Fe Co
1 6
Cartesian
0.0000 0.0000 0.0000
0.0000 0.0000 2.7343
0.0000 0.0000 5.3223
0.0000 0.0000 7.9793
0.0000 0.0000 10.6819
0.0000 0.0000 13.3390
0.0000 0.0000 15.9270

=====

Of them, the most stable is 2 and the least stable is 1.

=====

1.
FeCoH2, optimized geometry, DFT GGA-PBEsol; symmetry = I-42d
1.0
-1.8960 1.8960 3.7645
1.8960 -1.8960 3.7645
1.8960 1.8960 -3.7645
Fe Co H
2 2 4
Cartesian
0.0000 0.0000 0.0000
0.0000 1.8960 1.8823
1.8960 0.0000 1.8823
0.0000 0.0000 3.7645
0.9480 -0.9064 2.8234
0.9896 0.9480 0.9411
0.9480 2.8024 -0.9411
0.9064 0.9480 4.7057

=====

2.
FeCoH2, optimized geometry, DFT GGA-PBEsol; symmetry = Fm-3m
1.0
0.0000 2.3881 2.3881
2.3881 0.0000 2.3881
2.3881 2.3881 0.0000
Fe Co H
1 1 2
Cartesian
0.0000 0.0000 0.0000
2.3881 2.3881 2.3881
1.1940 1.1940 1.1940
3.5821 3.5821 3.5821

=====

Of them, the most stable is 1 and the least stable is 2.